Record 1
DFT (PBE-GGA) results for a relaxed PmNdSm2Sc crystal.

- M_tot: 0.0 μB per formula unit
- Raw total energy: -4.8444 eV per atom
- Theoretical density: 6.4 g/cm3

Unit cell a=6.613 b=7.880 c=6.284 alpha=90.01 beta=90.00 gamma=90.00
Fractional coordinates of all 10 atoms:
1 Sm 0.277 0.290 0.250
2 Sc 0.000 0.000 0.000
3 Pm 0.409 0.000 0.750
4 Nd 0.199 0.500 0.750
5 Sm 0.723 0.290 0.750
6 Nd 0.801 0.500 0.250
7 Sm 0.277 0.710 0.250
8 Pm 0.591 0.000 0.250
9 Sm 0.723 0.710 0.750
10 Sc 0.000 0.000 0.500

Record 2
DFT (PBE-GGA) results for a relaxed La6Er2Cd crystal.

- M_tot: 0.0 μB per formula unit
- Raw total energy: -4.4529 eV per atom
- Theoretical density: 6.9 g/cm3

Unit cell a=3.654 b=9.886 c=9.886 alpha=120.00 beta=90.00 gamma=90.00
Fractional coordinates of all 9 atoms:
1 La 0.000 0.712 0.712
2 La 0.000 0.288 0.000
3 Er 0.000 0.333 0.667
4 La 0.000 0.000 0.288
5 Cd 0.500 0.000 0.000
6 La 0.500 0.631 0.000
7 Er 0.000 0.667 0.333
8 La 0.500 0.369 0.369
9 La 0.500 0.000 0.631

Record 3
DFT (PBE-GGA) results for a relaxed Ac6In3Rh crystal.

- M_tot: 0.0 μB per formula unit
- Raw total energy: -4.3464 eV per atom
- Theoretical density: 7.7 g/cm3

Unit cell a=9.218 b=9.218 c=9.218 alpha=92.93 beta=92.93 gamma=92.93
Fractional coordinates of all 20 atoms:
1 Rh 0.500 0.500 0.500
2 Ac 0.079 0.950 0.307
3 Ac 0.307 0.079 0.950
4 Ac 0.449 0.579 0.807
5 Ac 0.807 0.449 0.579
6 Ac 0.950 0.307 0.079
7 In 0.250 0.860 0.640
8 Ac 0.921 0.050 0.693
9 In 0.140 0.360 0.750
10 Ac 0.551 0.421 0.193
11 In 0.750 0.140 0.360
12 In 0.360 0.750 0.140
13 Ac 0.193 0.551 0.421
14 Ac 0.421 0.193 0.551
15 In 0.640 0.250 0.860
16 Ac 0.693 0.921 0.050
17 Ac 0.579 0.807 0.449
18 Ac 0.050 0.693 0.921
19 In 0.860 0.640 0.250
20 Rh 0.000 0.000 0.000

Record 4
DFT (PBE-GGA) results for a relaxed Np2Si3Pt5 crystal.

- E_form (uncorrected): -0.732 eV per atom
- M_tot: 7.8 μB per formula unit
- Raw total energy: -7.9674 eV per atom
- Theoretical density: 14.2 g/cm3

Unit cell a=5.684 b=8.580 c=8.580 alpha=97.46 beta=70.65 gamma=70.65
Each line ends with the local moment (μB).
Fractional coordinates of all 20 atoms:
1 Pt 0.250 0.717 0.283  -0.02
2 Si 0.355 0.537 0.754  -0.01
3 Pt 0.116 0.761 0.008  -0.03
4 Np 0.731 0.637 0.900  3.75
5 Np 0.231 0.900 0.637  3.75
6 Si 0.645 0.463 0.246  -0.01
7 Si 0.855 0.754 0.537  -0.01
8 Np 0.269 0.363 0.100  3.75
9 Si 0.750 0.000 0.000  -0.01
10 Pt 0.884 0.239 0.992  -0.03
11 Pt 0.750 0.283 0.717  -0.02
12 Pt 0.750 0.718 0.282  -0.02
13 Pt 0.750 0.500 0.500  0.02
14 Pt 0.616 0.008 0.761  -0.03
15 Np 0.769 0.100 0.363  3.75
16 Pt 0.250 0.500 0.500  0.02
17 Pt 0.250 0.282 0.718  -0.02
18 Si 0.145 0.246 0.463  -0.01
19 Pt 0.384 0.992 0.239  -0.03
20 Si 0.250 0.000 0.000  -0.01

Record 5
DFT (PBE-GGA) results for a relaxed Tc5C crystal.

- M_tot: 0.0 μB per formula unit
- Raw total energy: -8.6444 eV per atom
- Theoretical density: 8.7 g/cm3
- Relative energy among the computed polymorphs: 1.419 eV/atom

Unit cell a=4.822 b=4.822 c=4.741 alpha=90.00 beta=90.00 gamma=120.00
Fractional coordinates of all 6 atoms:
1 Tc 0.333 0.667 0.000
2 Tc 0.500 0.500 0.500
3 Tc 0.667 0.333 0.000
4 Tc 0.500 0.000 0.500
5 C 0.000 0.000 0.000
6 Tc 0.000 0.500 0.500

Record 6
DFT (PBE-GGA) results for a relaxed LaCeY2 crystal.

- M_tot: 0.7 μB per formula unit
- Raw total energy: -5.7895 eV per atom
- Theoretical density: 5.6 g/cm3
- Relative energy among the computed polymorphs: 0.101 eV/atom

Unit cell a=5.761 b=5.761 c=5.761 alpha=60.00 beta=60.00 gamma=60.00
Each line ends with the local moment (μB).
Fractional coordinates of all 4 atoms:
1 La 0.500 0.500 0.500  -0.01
2 Y 0.750 0.750 0.750  0.00
3 Y 0.250 0.250 0.250  0.00
4 Ce 0.000 0.000 0.000  0.68

Record 7
DFT (PBE-GGA) results for a relaxed In2Te3I crystal.

- E_form (uncorrected): -0.125 eV per atom
- M_tot: 0.0 μB per formula unit
- Raw total energy: -2.8670 eV per atom
- Theoretical density: 6.0 g/cm3

Unit cell a=7.702 b=7.633 c=7.633 alpha=113.45 beta=90.08 gamma=90.08
Fractional coordinates of all 12 atoms:
1 Te 0.250 0.891 0.538
2 Te 0.750 0.462 0.109
3 In 0.000 0.203 0.797
4 Te 0.750 0.109 0.462
5 Te 0.749 0.949 0.949
6 In 0.000 0.797 0.203
7 In 0.500 0.205 0.795
8 I 0.250 0.382 0.382
9 Te 0.251 0.051 0.051
10 Te 0.250 0.538 0.891
11 I 0.750 0.618 0.618
12 In 0.500 0.795 0.205

Record 8
DFT (PBE-GGA) results for a relaxed Tb3DySb3 crystal.

- E_form (uncorrected): -1.008 eV per atom
- M_tot: 0.0 μB per formula unit
- Raw total energy: -5.4165 eV per atom
- Theoretical density: 8.5 g/cm3
- Relative energy among the computed polymorphs: 0.000 eV/atom

Unit cell a=9.223 b=9.223 c=9.223 alpha=90.00 beta=90.00 gamma=90.00
Fractional coordinates of all 28 atoms:
1 Sb 0.625 0.000 0.751
2 Sb 0.875 0.000 0.251
3 Tb 0.571 0.071 0.429
4 Tb 0.178 0.178 0.178
5 Tb 0.429 0.571 0.071
6 Sb 0.500 0.249 0.125
7 Tb 0.322 0.822 0.678
8 Sb 0.125 0.500 0.249
9 Dy 0.572 0.928 0.072
10 Tb 0.822 0.322 0.178
11 Sb 0.375 0.500 0.749
12 Tb 0.178 0.822 0.322
13 Sb 0.500 0.749 0.375
14 Sb 0.751 0.625 0.000
15 Sb 0.249 0.125 0.500
16 Dy 0.428 0.428 0.428
17 Sb 0.251 0.875 0.000
18 Sb 0.749 0.375 0.500
19 Dy 0.928 0.072 0.572
20 Tb 0.678 0.322 0.822
21 Tb 0.322 0.178 0.822
22 Dy 0.072 0.572 0.928
23 Tb 0.929 0.929 0.929
24 Tb 0.822 0.678 0.322
25 Tb 0.678 0.678 0.678
26 Tb 0.071 0.429 0.571
27 Sb 0.000 0.251 0.875
28 Sb 0.000 0.751 0.625

Record 9
DFT (PBE-GGA) results for a relaxed CaAl2TlCl8 crystal.

- E_form (uncorrected): -1.478 eV per atom
- M_tot: 0.9 μB per formula unit
- Raw total energy: -3.6966 eV per atom
- Theoretical density: 2.4 g/cm3

Unit cell a=6.512 b=6.512 c=11.627 alpha=73.74 beta=73.74 gamma=60.00
Each line ends with the local moment (μB).
Fractional coordinates of all 12 atoms:
1 Cl 0.194 0.194 0.418  0.01
2 Cl 0.403 0.718 0.848  0.00
3 Cl 0.718 0.031 0.848  0.00
4 Al 0.741 0.741 0.776  0.01
5 Cl 0.969 0.597 0.152  0.00
6 Cl 0.597 0.282 0.152  0.00
7 Cl 0.282 0.969 0.152  0.00
8 Cl 0.031 0.403 0.848  0.00
9 Ca 0.000 0.000 0.000  0.03
10 Cl 0.806 0.806 0.582  0.01
11 Tl 0.500 0.500 0.500  0.16
12 Al 0.259 0.259 0.224  0.01

Record 10
DFT (PBE-GGA) results for a relaxed CsPaGe2S8 crystal.

- E_form (uncorrected): -0.590 eV per atom
- M_tot: 2.0 μB per formula unit
- Raw total energy: -4.9738 eV per atom
- Theoretical density: 3.7 g/cm3

Unit cell a=6.432 b=6.432 c=9.504 alpha=90.00 beta=90.00 gamma=120.00
Each line ends with the local moment (μB).
Fractional coordinates of all 12 atoms:
1 S 0.333 0.667 0.963  0.43
2 S 0.997 0.333 0.664  0.07
3 S 0.333 0.336 0.336  0.07
4 S 0.003 0.667 0.336  0.07
5 Cs 0.000 0.000 0.000  0.01
6 S 0.664 0.997 0.336  0.07
7 S 0.336 0.003 0.664  0.07
8 Ge 0.667 0.333 0.271  -0.01
9 Ge 0.333 0.667 0.729  -0.01
10 S 0.667 0.333 0.037  0.43
11 S 0.667 0.664 0.664  0.07
12 Pa 0.000 0.000 0.500  -0.01

Number 1: DOS at the Fermi energy 13.66 states/eV per cell. Number 2: DOS at the Fermi energy 12.98 states/eV per cell. Number 3: DOS at the Fermi energy 21.25 states/eV per cell. Number 4: DOS at the Fermi energy 37.21 states/eV per cell. Number 5: DOS at the Fermi energy 5.56 states/eV per cell. Number 6: DOS at the Fermi energy 10.23 states/eV per cell. Number 7: DOS at the Fermi energy 3.47 states/eV per cell. Number 8: DOS at the Fermi energy 26.51 states/eV per cell. Number 9: DOS at the Fermi energy 5.26 states/eV per cell. Number 10: DOS at the Fermi energy 7.78 states/eV per cell.